A relaxed Hf3Mo2Ir2 crystal, computed with GGA-PBE.

Output
SG: R3m, No. 160
Total magnetic moment, μB per formula unit: 0.7
Uncorrected energy, eV/atom: -9.93

Lattice parameters (Å, degrees): 7.8041 7.8041 7.8041 33.80 33.80 33.80
Closest atoms and distances in Å follow each position.
Sites, in units of the cell vectors:
Hf  0.0000  0.0000  0.0000  4 Mo 2.61-2.76, 4 Ir 2.78-2.82
Hf  0.2469  0.2469  0.2469  4 Ir 2.77-2.83, 4 Mo 2.82-2.83
Hf  0.4947  0.4947  0.4947  4 Ir 2.63-2.80, 4 Mo 2.79-2.93
Mo  0.1184  0.1184  0.1184  5 Hf 2.61-2.83
Mo  0.6276  0.6276  0.6276  7 Hf 2.76-2.93
Ir  0.3753  0.3753  0.3753  5 Hf 2.63-2.83
Ir  0.8723  0.8723  0.8723  7 Hf 2.77-2.82